{
  "formula": "Er2ZrO5",
  "functional": "PBE",
  "state": "relaxed",
  "cell": [[9.654, 0.000, 0.000], [0.000, 6.558, 0.000], [0.000, 0.000, 5.981]],
  "species": ["Er", "Er", "Er", "Er", "Er", "Er", "Er", "Er", "Zr", "Zr", "Zr", "Zr", "O", "O", "O", "O", "O", "O", "O", "O", "O", "O", "O", "O", "O", "O", "O", "O", "O", "O", "O", "O"],
  "fractional_positions": [[0.176, 0.001, 0.014], [0.176, 0.499, 0.014], [0.324, 0.501, 0.514], [0.324, 0.999, 0.514], [0.676, 0.001, 0.486], [0.676, 0.499, 0.486], [0.824, 0.501, 0.986], [0.824, 0.999, 0.986], [0.006, 0.250, 0.563], [0.494, 0.750, 0.063], [0.506, 0.250, 0.937], [0.994, 0.750, 0.437], [0.004, 0.250, 0.945], [0.098, 0.529, 0.653], [0.098, 0.971, 0.653], [0.185, 0.250, 0.330], [0.209, 0.750, 0.308], [0.291, 0.250, 0.808], [0.315, 0.750, 0.830], [0.402, 0.029, 0.153], [0.402, 0.471, 0.153], [0.496, 0.750, 0.445], [0.504, 0.250, 0.555], [0.598, 0.529, 0.847], [0.598, 0.971, 0.847], [0.685, 0.250, 0.170], [0.709, 0.750, 0.192], [0.791, 0.250, 0.692], [0.815, 0.750, 0.670], [0.902, 0.029, 0.347], [0.902, 0.471, 0.347], [0.996, 0.750, 0.055]],
  "spacegroup": "No. 62",
  "raw_formation_energy_mev_per_atom": -3496
}

{
  "formula": "SrTa2Br",
  "functional": "PBE",
  "state": "relaxed",
  "cell": [[1.579, 0.911, 10.294], [-1.579, 0.911, 10.294], [0.000, -1.823, 10.294]],
  "species": ["Sr", "Ta", "Ta", "Br"],
  "fractional_positions": [[0.000, 0.000, 0.000], [0.239, 0.239, 0.239], [0.761, 0.761, 0.761], [0.500, 0.500, 0.500]],
  "spacegroup": "No. 166",
  "relative_energy_mev_per_atom": 770,
  "raw_formation_energy_mev_per_atom": 838
}

{
  "formula": "Tb4SmDyTm2",
  "functional": "PBE",
  "state": "relaxed",
  "cell": [[6.778, -6.621, 0.000], [6.778, 6.621, 0.000], [-3.385, 0.000, 5.868]],
  "species": ["Tb", "Tb", "Tb", "Tb", "Tb", "Tb", "Tb", "Tb", "Sm", "Sm", "Dy", "Dy", "Tm", "Tm", "Tm", "Tm"],
  "fractional_positions": [[0.245, 0.251, 0.496], [0.248, 0.752, 0.502], [0.248, 0.752, 0.998], [0.251, 0.245, 0.996], [0.749, 0.755, 0.004], [0.752, 0.248, 0.002], [0.752, 0.248, 0.498], [0.755, 0.749, 0.504], [0.000, 0.500, 0.000], [0.500, 0.000, 0.500], [0.500, 0.500, 0.000], [0.500, 0.500, 0.500], [0.000, 0.000, 0.000], [0.000, 0.000, 0.500], [0.000, 0.500, 0.500], [0.500, 0.000, 0.000]],
  "spacegroup": "No. 15",
  "e_form_kcal_per_mol_atoms": 10.06
}

{
  "formula": "SbMoRu",
  "functional": "PBE",
  "state": "relaxed",
  "cell": [[4.463, 0.000, 0.000], [-2.231, 3.865, 0.000], [0.000, 0.000, 2.936]],
  "species": ["Sb", "Mo", "Ru"],
  "fractional_positions": [[0.000, 0.000, 0.000], [0.667, 0.333, 0.500], [0.333, 0.667, 0.000]],
  "spacegroup": "No. 187",
  "relative_energy_mev_per_atom": 186,
  "raw_formation_energy_mev_per_atom": 205
}

{
  "formula": "NbPd",
  "functional": "PBE",
  "state": "relaxed",
  "cell": [[4.577, 0.000, 0.000], [-2.289, 3.964, 0.000], [0.000, 0.000, 7.872]],
  "species": ["Nb", "Nb", "Nb", "Nb", "Pd", "Pd", "Pd", "Pd"],
  "fractional_positions": [[0.333, 0.667, 0.089], [0.333, 0.667, 0.411], [0.667, 0.333, 0.589], [0.667, 0.333, 0.911], [0.000, 0.000, 0.250], [0.000, 0.000, 0.750], [0.333, 0.667, 0.750], [0.667, 0.333, 0.250]],
  "spacegroup": "No. 194",
  "e_form_kcal_per_mol_atoms": 3.87
}

{
  "formula": "OsBrCl2",
  "functional": "PBE",
  "state": "relaxed",
  "cell": [[3.020, 0.000, 0.000], [0.000, 3.231, 0.000], [0.000, 0.000, 8.678]],
  "species": ["Os", "Br", "Cl", "Cl"],
  "fractional_positions": [[0.000, 0.000, 0.000], [0.500, 0.500, 0.841], [0.000, 0.000, 0.554], [0.500, 0.500, 0.192]],
  "spacegroup": "No. 25",
  "relative_energy_mev_per_atom": 907,
  "raw_formation_energy_mev_per_atom": 817
}

{
  "formula": "AlRhCl2",
  "functional": "PBE",
  "state": "relaxed",
  "cell": [[-2.084, 2.084, 3.936], [2.084, -2.084, 3.936], [2.084, 2.084, -3.936]],
  "species": ["Al", "Rh", "Cl", "Cl"],
  "fractional_positions": [[0.000, 0.000, 0.000], [0.750, 0.250, 0.500], [0.250, 0.750, 0.500], [0.500, 0.500, 0.000]],
  "spacegroup": "No. 119",
  "relative_energy_mev_per_atom": 778,
  "raw_formation_energy_mev_per_atom": 184
}

{
  "formula": "Rb2LiMnBr5",
  "functional": "PBE",
  "state": "relaxed",
  "cell": [[2.151, -10.003, 0.000], [2.151, 10.003, 0.000], [0.000, 0.000, 14.007]],
  "species": ["Rb", "Rb", "Rb", "Rb", "Li", "Li", "Mn", "Mn", "Br", "Br", "Br", "Br", "Br", "Br", "Br", "Br", "Br", "Br"],
  "fractional_positions": [[0.114, 0.886, 0.500], [0.127, 0.873, 0.118], [0.873, 0.127, 0.618], [0.886, 0.114, 0.000], [0.426, 0.574, 0.254], [0.574, 0.426, 0.754], [0.211, 0.789, 0.832], [0.789, 0.211, 0.332], [0.078, 0.922, 0.851], [0.284, 0.716, 0.460], [0.303, 0.697, 0.198], [0.339, 0.661, 0.814], [0.495, 0.505, 0.107], [0.505, 0.495, 0.607], [0.661, 0.339, 0.314], [0.697, 0.303, 0.698], [0.716, 0.284, 0.960], [0.922, 0.078, 0.351]],
  "spacegroup": "No. 36",
  "raw_formation_energy_mev_per_atom": -1377
}

{
  "formula": "LuInRu2",
  "functional": "PBE",
  "state": "relaxed",
  "cell": [[3.319, 0.000, 0.000], [0.000, 3.319, 0.000], [0.000, 0.000, 6.442]],
  "species": ["Lu", "In", "Ru", "Ru"],
  "fractional_positions": [[0.000, 0.000, 0.000], [0.000, 0.000, 0.500], [0.500, 0.500, 0.261], [0.500, 0.500, 0.739]],
  "spacegroup": "No. 123",
  "e_form_kcal_per_mol_atoms": -4.44
}

{
  "formula": "ScReBr",
  "functional": "PBE",
  "state": "relaxed",
  "cell": [[0.000, 3.139, 3.139], [3.139, 0.000, 3.139], [3.139, 3.139, 0.000]],
  "species": ["Sc", "Re", "Br"],
  "fractional_positions": [[0.000, 0.000, 0.000], [0.750, 0.750, 0.750], [0.500, 0.500, 0.500]],
  "spacegroup": "No. 216",
  "relative_energy_mev_per_atom": 780,
  "raw_formation_energy_mev_per_atom": 955
}

Which formula does entry 7 have? AlRhCl2